A PBEsol-optimized structure of NaDySe2. Source: Alexandria via LeMat-Bulk, functional meta-GGA SCAN.

Results
As for the energy relative to the elements, uncorrected: -1.935 eV per atom. The calculation puts the density of states at the Fermi level at 0.00 states/eV/f.u. Its total magnetization is 0.00 Bohr magnetons per cell.

a b c (Å): 4.0814 4.0814 7.2891
angles (deg): 73.74 73.74 60.00
Sites, in units of the cell vectors:
Se 0.7435 0.7435 0.7695
Na 0.5000 0.5000 0.5000
Dy 0.0000 0.0000 0.0000
Se 0.2565 0.2565 0.2305

A PBEsol-optimized structure of Sr3BiI. Source: Alexandria via LeMat-Bulk, functional meta-GGA SCAN.

Results
As for the energy relative to the elements, uncorrected: -0.577 eV per atom. The calculation puts the density of states at the Fermi level at 3.65 states/eV/f.u. Its total magnetization is 1.07 Bohr magnetons per cell.

a b c (Å): 6.3607 6.3607 6.3607
angles (deg): 90.00 90.00 90.00
Last column: magnetic moment on the atom in μB.
Sites, in units of the cell vectors:
Sr 0.0000 0.0000 0.5000  0.05
I 0.5000 0.5000 0.5000  0.03
Sr 0.0000 0.5000 0.0000  0.05
Bi 0.0000 0.0000 0.0000  -0.02
Sr 0.5000 0.0000 0.0000  0.05